No. 1
Below is a relaxed Tb2Pm3Pr crystal, with properties calculated at the PBE-GGA level.

Calculated values
symmetry: C2/c, No. 15
DOS at the Fermi energy: 1.4290 states/eV per atom
formation energy from the elements: 0.015 eV/atom
excess energy over the best structure of this formula in the dataset: 0.000 eV/atom

Unit cell a=7.2546 b=6.2878 c=9.6161 alpha=89.92 beta=112.16 gamma=90.00
Atoms (fractional coordinates):
Tb1 0.7916 0.5827 0.3349
Tb2 0.5433 0.0827 0.3349
Tb3 0.4567 0.9173 0.6651
Tb4 0.2084 0.4173 0.6651
Pm1 0.6241 0.2500 0.0000
Pm2 0.3759 0.7500 0.0000
Pm3 0.0424 0.0842 0.3361
Pm4 0.7063 0.4158 0.6639
Pm5 0.2937 0.5842 0.3361
Pm6 0.9576 0.9158 0.6639
Pr1 0.8736 0.7500 0.0000
Pr2 0.1264 0.2500 0.0000

No. 2
Below is a relaxed Sc2AgN crystal, with properties calculated at the PBE-GGA level.

Calculated values
symmetry: R-3m, No. 166
DOS at the Fermi energy: 0.0000 states/eV per atom
uncorrected formation energy: -83 meV/atom

Unit cell a=7.3893 b=7.3893 c=7.3893 alpha=32.51 beta=32.51 gamma=32.51
Atoms (fractional coordinates):
Sc1 0.9120 0.9120 0.9120
Sc2 0.0880 0.0880 0.0880
Ag1 0.5000 0.5000 0.5000
N1 0.0000 0.0000 0.0000

No. 3
Below is a relaxed Dy3Tm2In crystal, with properties calculated at the PBE-GGA level.

Calculated values
symmetry: Cmmm, No. 65
DOS at the Fermi energy: 1.0480 states/eV per atom
formation energy from the elements: -0.164 eV/atom
excess energy over the best structure of this formula in the dataset: 0.000 eV/atom

Unit cell a=4.8237 b=4.8552 c=7.8476 alpha=108.02 beta=90.00 gamma=90.00
Atoms (fractional coordinates):
Dy1 0.5000 0.1688 0.3376
Dy2 0.5000 0.5000 0.0000
Dy3 0.5000 0.8312 0.6624
Tm1 0.0000 0.6628 0.3257
Tm2 0.0000 0.3372 0.6743
In1 0.0000 0.0000 0.0000

No. 4
Below is a relaxed NaCa2CdAu4 crystal, with properties calculated at the PBE-GGA level.

Calculated values
symmetry: R-3m, No. 166
DOS at the Fermi energy: 0.4489 states/eV per atom
formation energy from the elements: -0.565 eV/atom

Unit cell a=5.0161 b=5.0161 c=8.7171 alpha=73.28 beta=73.28 gamma=60.00
Atoms (fractional coordinates):
Na1 0.0000 0.0000 0.0000
Ca1 0.7507 0.7507 0.7480
Ca2 0.2493 0.2493 0.2520
Cd1 0.5000 0.5000 0.5000
Au1 0.3769 0.3769 0.8693
Au2 0.8744 0.8744 0.3767
Au3 0.1256 0.1256 0.6233
Au4 0.6231 0.6231 0.1307

Question: Which of these has the highest DOS at the Fermi energy?
Answer: Tb2Pm3Pr

Question: The lowest DOS at the Fermi energy belongs to which entry?
Answer: Sc2AgN

Question: Look up the DOS at the Fermi energy of the first one.
Answer: 1.4290 states/eV per atom